Compound: TlCdRe
Source: Alexandria via LeMat-Bulk
Functional: GGA-PBE
Structure: optimized geometry

Properties
Formation enthalpy at 0 K   837 meV per atom
ΔE to the lowest computed polymorph   0.000 eV/atom
Mass density   13.9 Mg/m³

Cell lengths 3.0285, 3.0285, 7.5819 Å; angles 90.00, 90.00, 120.00 degrees
Closest atoms and distances in Å follow each position.
Fractional coordinates of all 3 atoms:
Tl  0.0000  0.0000  0.0000  3 Re 3.00, 6 Tl 3.03, 3 Cd 3.34
Cd  0.6667  0.3333  0.3746  3 Re 2.89, 6 Cd 3.03
Re  0.3333  0.6667  0.6789  3 Cd 2.89, 3 Tl 3.00, 6 Re 3.03

=====

Compound: Cs2Tb2CeSe6
Source: Alexandria via LeMat-Bulk
Functional: GGA-PBE
Structure: optimized geometry

Properties
Energy relative to the elements, uncorrected   -1.731 eV per atom
Mass density   5.0 Mg/m³

Cell lengths 7.3150, 7.3150, 8.9269 Å; angles 97.95, 97.95, 120.01 degrees
Closest atoms and distances in Å follow each position.
Fractional coordinates of all 11 atoms:
Cs  0.1679  0.8321  0.0000  6 Se 3.65-3.66
Cs  0.8321  0.1679  0.0000  6 Se 3.65-3.66
Tb  0.3333  0.6667  0.5000  6 Se 2.90-2.91
Tb  0.6667  0.3333  0.5000  6 Se 2.90-2.91
Ce  0.0000  0.0000  0.5000  6 Se 2.88
Se  0.0613  0.3925  0.6823  1 Ce 2.88, 2 Tb 2.90-2.91
Se  0.2692  0.2692  0.3180  1 Ce 2.88, 2 Tb 2.90
Se  0.3925  0.0613  0.6823  1 Ce 2.88, 2 Tb 2.90-2.91
Se  0.6075  0.9387  0.3177  1 Ce 2.88, 2 Tb 2.90-2.91
Se  0.7308  0.7308  0.6820  1 Ce 2.88, 2 Tb 2.90
Se  0.9387  0.6075  0.3177  1 Ce 2.88, 2 Tb 2.90-2.91

=====

Compound: CaLaAl
Source: Alexandria via LeMat-Bulk
Functional: GGA-PBE
Structure: optimized geometry

Properties
Formation enthalpy at 0 K   -145 meV per atom
ΔE to the lowest computed polymorph   0.136 eV/atom
Mass density   3.8 Mg/m³

Cell lengths 5.8910, 5.8910, 6.5149 Å; angles 105.92, 105.92, 55.92 degrees
Closest atoms and distances in Å follow each position.
Fractional coordinates of all 6 atoms:
Ca  0.0000  0.0000  0.0000  3 Al 3.15-3.36, 2 La 3.44
Ca  0.2449  0.2449  0.5815  4 La 3.23-3.54, 3 Al 3.30-3.43
La  0.3821  0.3821  0.1992  1 La 3.05, 1 Ca 3.23, 5 Al 3.25-3.39
La  0.5947  0.5947  0.6428  1 La 3.05, 3 Al 3.25-3.31, 2 Ca 3.26
Al  0.6872  0.6872  0.1676  1 Al 2.64
Al  0.9149  0.9149  0.4924  1 Al 2.64

=====

Compound: MgAlTe2I
Source: Alexandria via LeMat-Bulk
Functional: GGA-PBE
Structure: optimized geometry

Properties
Energy relative to the elements, uncorrected   0.113 eV per atom
ΔE to the lowest computed polymorph   0.092 eV/atom
Mass density   4.1 Mg/m³

Cell lengths 5.4934, 5.4934, 5.8359 Å; angles 90.00, 90.00, 90.00 degrees
Closest atoms and distances in Å follow each position.
Fractional coordinates of all 5 atoms:
Mg  0.0000  0.0000  0.0000  4 Te 2.75, 2 I 2.92
Al  0.5000  0.5000  0.5000  4 I 3.88, 8 Te 4.01
Te  0.0000  0.5000  0.0000  2 Mg 2.75
Te  0.5000  0.0000  0.0000  2 Mg 2.75
I  0.0000  0.0000  0.5000  2 Mg 2.92

=====

Compound: BeBiSb2Te
Source: Alexandria via LeMat-Bulk
Functional: GGA-PBE
Structure: optimized geometry

Properties
Energy relative to the elements, uncorrected   0.363 eV per atom
ΔE to the lowest computed polymorph   0.000 eV/atom
Mass density   7.6 Mg/m³

Cell lengths 4.9888, 4.9888, 5.1863 Å; angles 90.00, 90.00, 90.00 degrees
Closest atoms and distances in Å follow each position.
Fractional coordinates of all 5 atoms:
Be  0.0000  0.0000  0.0000  4 Sb 2.49, 2 Te 2.59
Bi  0.5000  0.5000  0.5000  4 Te 3.53, 8 Sb 3.60
Sb  0.0000  0.5000  0.0000  2 Be 2.49
Sb  0.5000  0.0000  0.0000  2 Be 2.49
Te  0.0000  0.0000  0.5000  2 Be 2.59

=====

Compound: Dy4TlTc
Source: Alexandria via LeMat-Bulk
Functional: GGA-PBE
Structure: optimized geometry

Properties
Formation enthalpy at 0 K   -220 meV per atom
Mass density   9.4 Mg/m³

Cell lengths 6.2530, 7.7858, 7.7955 Å; angles 112.00, 99.40, 99.33 degrees
Closest atoms and distances in Å follow each position.
Fractional coordinates of all 12 atoms:
Dy  0.0466  0.2753  0.4392  2 Tc 2.81-2.83
Dy  0.1044  0.1990  0.8556  2 Tc 2.94-3.00, 1 Tl 3.23
Dy  0.3952  0.6443  0.3010  2 Tc 2.94-2.99, 1 Tl 3.23
Dy  0.4533  0.0614  0.2250  2 Tc 2.81-2.83
Dy  0.5467  0.9386  0.7750  2 Tc 2.81-2.83
Dy  0.6048  0.3557  0.6990  2 Tc 2.94-2.99, 1 Tl 3.23
Dy  0.8956  0.8010  0.1444  2 Tc 2.94-3.00, 1 Tl 3.23
Dy  0.9534  0.7247  0.5608  2 Tc 2.81-2.83
Tl  0.2501  0.6248  0.8760  8 Dy 3.23-3.40
Tl  0.7499  0.3752  0.1240  8 Dy 3.23-3.40
Tc  0.2500  0.0002  0.5000  8 Dy 2.81-3.00, 2 Tc 3.13
Tc  0.7500  0.9998  0.5000  8 Dy 2.81-3.00, 2 Tc 3.13

=====

Compound: Ce2Dy3Th4
Source: Alexandria via LeMat-Bulk
Functional: GGA-PBE
Structure: optimized geometry

Properties
Formation enthalpy at 0 K   168 meV per atom
Mass density   10.0 Mg/m³

Cell lengths 9.7299, 9.7299, 6.2713 Å; angles 101.79, 101.79, 80.70 degrees
Closest atoms and distances in Å follow each position.
Fractional coordinates of all 18 atoms:
Ce  0.1218  0.3025  0.1068  3 Th 3.02-3.37, 1 Dy 3.29
Ce  0.3025  0.1218  0.6068  3 Th 3.02-3.37, 1 Dy 3.29
Ce  0.6975  0.8782  0.3932  3 Th 3.02-3.37, 1 Dy 3.29
Ce  0.8782  0.6975  0.8932  3 Th 3.02-3.37, 1 Dy 3.29
Dy  0.0039  0.9961  0.2500  2 Dy 3.14, 2 Ce 3.51
Dy  0.3406  0.4535  0.5289  2 Ce 3.29-3.45, 4 Dy 3.44-3.53, 4 Th 3.45-3.58
Dy  0.4535  0.3406  0.0289  2 Ce 3.29-3.45, 4 Dy 3.44-3.53, 4 Th 3.45-3.58
Dy  0.5465  0.6594  0.9711  2 Ce 3.29-3.45, 4 Dy 3.44-3.53, 4 Th 3.45-3.58
Dy  0.6594  0.5465  0.4711  2 Ce 3.29-3.45, 4 Dy 3.44-3.53, 4 Th 3.45-3.58
Dy  0.9961  0.0039  0.7500  2 Dy 3.14, 2 Ce 3.51
Th  0.0005  0.6503  0.4142  2 Th 3.32-3.57, 4 Ce 3.34-3.68, 2 Dy 3.56-3.65
Th  0.1975  0.6469  0.9910  1 Ce 3.02
Th  0.3497  0.9995  0.0858  2 Th 3.32-3.57, 4 Ce 3.34-3.68, 2 Dy 3.56-3.65
Th  0.3531  0.8025  0.5090  1 Ce 3.02
Th  0.6469  0.1975  0.4910  1 Ce 3.02
Th  0.6503  0.0005  0.9142  2 Th 3.32-3.57, 4 Ce 3.34-3.68, 2 Dy 3.56-3.65
Th  0.8025  0.3531  0.0090  1 Ce 3.02
Th  0.9995  0.3497  0.5858  2 Th 3.32-3.57, 4 Ce 3.34-3.68, 2 Dy 3.56-3.65

=====

Compound: Cd3CoPd12
Source: Alexandria via LeMat-Bulk
Functional: GGA-PBE
Structure: optimized geometry

Properties
Formation enthalpy at 0 K   -159 meV per atom
Mass density   10.9 Mg/m³

Cell lengths 3.9900, 3.9900, 15.9765 Å; angles 90.00, 90.00, 90.00 degrees
Closest atoms and distances in Å follow each position.
Fractional coordinates of all 16 atoms:
Cd  0.0000  0.0000  0.0000  12 Pd 2.82-2.86
Cd  0.0000  0.0000  0.2554  12 Pd 2.82-2.88
Cd  0.0000  0.0000  0.7446  12 Pd 2.82-2.88
Co  0.0000  0.0000  0.5000  12 Pd 2.71-2.82
Pd  0.0000  0.5000  0.1281  8 Pd 2.82-2.87, 4 Cd 2.85-2.86
Pd  0.0000  0.5000  0.3852  2 Co 2.71, 8 Pd 2.71-2.86, 2 Cd 2.88
Pd  0.0000  0.5000  0.6148  2 Co 2.71, 8 Pd 2.71-2.86, 2 Cd 2.88
Pd  0.0000  0.5000  0.8719  8 Pd 2.82-2.87, 4 Cd 2.85-2.86
Pd  0.5000  0.0000  0.1281  8 Pd 2.82-2.87, 4 Cd 2.85-2.86
Pd  0.5000  0.0000  0.3852  2 Co 2.71, 8 Pd 2.71-2.86, 2 Cd 2.88
Pd  0.5000  0.0000  0.6148  2 Co 2.71, 8 Pd 2.71-2.86, 2 Cd 2.88
Pd  0.5000  0.0000  0.8719  8 Pd 2.82-2.87, 4 Cd 2.85-2.86
Pd  0.5000  0.5000  0.0000  4 Cd 2.82, 8 Pd 2.86
Pd  0.5000  0.5000  0.2571  4 Cd 2.82, 8 Pd 2.86-2.87
Pd  0.5000  0.5000  0.5000  8 Pd 2.71, 4 Co 2.82
Pd  0.5000  0.5000  0.7429  4 Cd 2.82, 8 Pd 2.86-2.87

=====

Compound: Pm8Sn5Hg
Source: Alexandria via LeMat-Bulk
Functional: GGA-PBE
Structure: optimized geometry

Properties
Formation enthalpy at 0 K   -669 meV per atom
Mass density   7.5 Mg/m³

Cell lengths 8.2413, 8.2413, 8.2413 Å; angles 109.68, 109.68, 109.05 degrees
Closest atoms and distances in Å follow each position.
Fractional coordinates of all 14 atoms:
Pm  0.1233  0.2330  0.7532  1 Hg 3.16, 5 Sn 3.16-3.44
Pm  0.1336  0.7406  0.7564  5 Sn 3.15-3.40, 1 Hg 3.49
Pm  0.2594  0.0158  0.3930  5 Sn 3.15-3.40, 1 Hg 3.49
Pm  0.4797  0.3701  0.2468  1 Hg 3.16, 5 Sn 3.16-3.44
Pm  0.6228  0.8664  0.6070  5 Sn 3.15-3.40, 1 Hg 3.49
Pm  0.6299  0.8767  0.1096  1 Hg 3.16, 5 Sn 3.16-3.44
Pm  0.7670  0.5203  0.8904  1 Hg 3.16, 5 Sn 3.16-3.44
Pm  0.9842  0.3772  0.2436  5 Sn 3.15-3.40, 1 Hg 3.49
Sn  0.0000  0.0000  0.0000  8 Pm 3.15-3.41
Sn  0.2527  0.6295  0.1258  8 Pm 3.16-3.44
Sn  0.3705  0.4963  0.6232  8 Pm 3.16-3.44
Sn  0.5037  0.1269  0.8742  8 Pm 3.16-3.44
Sn  0.8731  0.7473  0.3768  8 Pm 3.16-3.44
Hg  0.7500  0.2500  0.5000  8 Pm 3.16-3.49

=====

Compound: Sm8GaPb6
Source: Alexandria via LeMat-Bulk
Functional: GGA-PBE
Structure: optimized geometry

Properties
Formation enthalpy at 0 K   -427 meV per atom
Mass density   8.5 Mg/m³

Cell lengths 8.4009, 8.4009, 8.4009 Å; angles 68.32, 68.32, 68.32 degrees
Closest atoms and distances in Å follow each position.
Fractional coordinates of all 15 atoms:
Sm  0.1472  0.4008  0.6714  1 Ga 3.06, 4 Pb 3.14-3.40
Sm  0.1703  0.1703  0.1703  6 Pb 3.26-3.32
Sm  0.3286  0.8528  0.5992  1 Ga 3.06, 4 Pb 3.14-3.40
Sm  0.4008  0.6714  0.1472  1 Ga 3.06, 4 Pb 3.14-3.40
Sm  0.5992  0.3286  0.8528  1 Ga 3.06, 4 Pb 3.14-3.40
Sm  0.6714  0.1472  0.4008  1 Ga 3.06, 4 Pb 3.14-3.40
Sm  0.8297  0.8297  0.8297  6 Pb 3.26-3.32
Sm  0.8528  0.5992  0.3286  1 Ga 3.06, 4 Pb 3.14-3.40
Ga  0.5000  0.5000  0.5000  6 Sm 3.06
Pb  0.0452  0.8040  0.4238  7 Sm 3.14-3.43
Pb  0.1960  0.5762  0.9548  7 Sm 3.14-3.43
Pb  0.4238  0.0452  0.8040  7 Sm 3.14-3.43
Pb  0.5762  0.9548  0.1960  7 Sm 3.14-3.43
Pb  0.8040  0.4238  0.0452  7 Sm 3.14-3.43
Pb  0.9548  0.1960  0.5762  7 Sm 3.14-3.43

=====

Compound: PmEr9Tm2
Source: Alexandria via LeMat-Bulk
Functional: GGA-PBE
Structure: optimized geometry

Properties
Formation enthalpy at 0 K   25 meV per atom
ΔE to the lowest computed polymorph   0.000 eV/atom
Mass density   9.0 Mg/m³

Cell lengths 4.9709, 4.9709, 14.9156 Å; angles 90.00, 90.00, 90.00 degrees
Closest atoms and distances in Å follow each position.
Fractional coordinates of all 12 atoms:
Pm  0.0000  0.0000  0.0000  12 Er 3.51-3.54
Er  0.0000  0.5000  0.1690  2 Tm 3.50, 8 Er 3.51-3.54, 2 Pm 3.54
Er  0.0000  0.5000  0.5000  8 Er 3.50-3.51, 4 Tm 3.50
Er  0.0000  0.5000  0.8310  2 Tm 3.50, 8 Er 3.51-3.54, 2 Pm 3.54
Er  0.5000  0.0000  0.1690  2 Tm 3.50, 8 Er 3.51-3.54, 2 Pm 3.54
Er  0.5000  0.0000  0.5000  8 Er 3.50-3.51, 4 Tm 3.50
Er  0.5000  0.0000  0.8310  2 Tm 3.50, 8 Er 3.51-3.54, 2 Pm 3.54
Er  0.5000  0.5000  0.0000  4 Pm 3.51, 8 Er 3.54
Er  0.5000  0.5000  0.3350  8 Er 3.50-3.51, 4 Tm 3.51
Er  0.5000  0.5000  0.6650  8 Er 3.50-3.51, 4 Tm 3.51
Tm  0.0000  0.0000  0.3343  12 Er 3.50-3.51
Tm  0.0000  0.0000  0.6657  12 Er 3.50-3.51

=====

Compound: PrScBiSb
Source: Alexandria via LeMat-Bulk
Functional: GGA-PBE
Structure: optimized geometry

Properties
Energy relative to the elements, uncorrected   -0.920 eV per atom
Mass density   7.1 Mg/m³

Cell lengths 7.6077, 7.6077, 7.6077 Å; angles 33.78, 33.78, 33.78 degrees
Closest atoms and distances in Å follow each position.
Fractional coordinates of all 4 atoms:
Pr  0.0000  0.0000  0.0000  3 Sb 3.20, 3 Bi 3.26
Sc  0.4955  0.4955  0.4955  3 Sb 2.99, 3 Bi 3.04
Bi  0.2391  0.2391  0.2391  3 Sc 3.04, 3 Pr 3.26
Sb  0.7562  0.7562  0.7562  3 Sc 2.99, 3 Pr 3.20